Compound: HgC2Br
Source: Alexandria via LeMat-Bulk
Functional: PBE
Structure: optimized geometry

Properties
Density of states at the Fermi level   3.4 states/eV per cell
Energy relative to the lowest polymorph listed for this composition   0 meV/atom
Total magnetization   0.0 μB/f.u.
Formation energy (no corrections)   2468 meV/atom
Calculated volume   145.98 Å³/cell
Space group   No. 122

```
8
Lattice="-2.568 2.568 5.533 2.568 -2.568 5.533 2.568 2.568 -5.533" Properties=species:S:1:pos:R:3 pbc="T T T"
Hg 0.000 0.000 0.000
Hg 0.000 2.568 2.766
C 3.853 1.260 -1.383
C 1.260 1.284 1.383
C -1.284 1.308 4.150
C 1.308 1.284 6.916
Br 2.568 0.000 2.766
Br 0.000 0.000 5.533
```